Here is a geometry-optimized Cd2TeF structure from Alexandria via LeMat-Bulk. Energies are from PBE.

POSCAR file:
```
Cd2TeF
1.0
5.6663 0.0000 0.0000
0.0000 5.6663 0.0000
2.8331 2.8331 6.8350
F Te Cd
2 2 4
Direct
0.5000 0.5000 0.0000
0.2500 0.7500 0.5000
0.0000 0.0000 0.0000
0.7500 0.2500 0.5000
0.5492 0.1250 0.2500
0.2008 0.6250 0.2500
0.3750 0.4508 0.7500
0.8750 0.7992 0.7500
```

- SG: I-42d
- Formation energy without anion corrections: -0.79 eV per atom

Here is a geometry-optimized Nd5Ge2Sb structure from Alexandria via LeMat-Bulk. Energies are from PBE.

POSCAR file:
```
Nd5Ge2Sb
1.0
-0.8581 -2.7901 7.5523
7.1623 -3.7337 -0.5656
0.0452 9.0181 -1.0035
Nd Ge Sb
10 4 2
Direct
0.5190 0.6972 0.7162
0.8028 0.9810 0.2838
0.0000 0.0000 0.0000
0.5000 0.5000 0.0000
0.1972 0.0190 0.7162
0.6972 0.1972 0.7162
0.0190 0.5190 0.7162
0.3028 0.8028 0.2838
0.9810 0.4810 0.2838
0.4810 0.3028 0.2838
0.1394 0.3606 0.0000
0.6394 0.1394 0.0000
0.3606 0.8606 0.0000
0.8606 0.6394 0.0000
0.7500 0.7500 0.5000
0.2500 0.2500 0.5000
```

- SG: I4/mcm
- Formation energy without anion corrections: -0.79 eV per atom

Here is a geometry-optimized Tb3Pm4Ho2 structure from Alexandria via LeMat-Bulk. Energies are from PBE.

POSCAR file:
```
Tb3Pm4Ho2
1.0
-8.2613 4.8970 -1.1379
-0.5028 -0.7451 -7.8512
-4.9034 -5.9149 1.8493
Tb Pm Ho
6 8 4
Direct
0.7507 0.0198 0.3132
0.7493 0.6868 0.9802
0.2493 0.9802 0.6868
0.2507 0.3132 0.0198
0.2500 0.6406 0.3594
0.7500 0.3594 0.6406
0.4182 0.9578 0.1904
0.0818 0.8096 0.0422
0.5818 0.0422 0.8096
0.9182 0.1904 0.9578
0.0780 0.1512 0.3774
0.4220 0.6226 0.8488
0.9220 0.8488 0.6226
0.5780 0.3774 0.1512
0.4188 0.2887 0.5251
0.0812 0.4749 0.7113
0.5812 0.7113 0.4749
0.9188 0.5251 0.2887
```

- E_tot: -82.48 eV/cell
- SG: C2/c

Here is a geometry-optimized TiOF3 structure from Alexandria via LeMat-Bulk. Energies are from PBE.

POSCAR file:
```
TiOF3
1.0
3.9063 0.0000 0.0000
0.0000 3.9063 0.0000
0.0000 0.0000 3.9063
F O Ti
3 1 1
Direct
0.0000 0.5000 0.0000
0.0000 0.0000 0.5000
0.5000 0.0000 0.0000
0.5000 0.5000 0.5000
0.0000 0.0000 0.0000
```

- SG: Pm-3m
- Formation energy without anion corrections: -2.07 eV per atom